Compound: TlAsP2S
Source: Alexandria
Functional: SCAN
Structure: single point on PBEsol structure

Lattice parameters (Å, degrees): 5.0022 5.0022 4.8879 90.00 90.00 90.00
Sites, in units of the cell vectors:
Tl  0.0000  0.0000  0.0000
As  0.5000  0.5000  0.5000
P  0.0000  0.5000  0.0000
P  0.5000  0.0000  0.0000
S  0.0000  0.0000  0.5000

Summary:
Formation energy without anion corrections: 1.5656 eV per atom
Space-group type: P4/mmm, No. 123

=====

Compound: SbAs2P
Source: Alexandria
Functional: SCAN
Structure: single point on PBEsol structure

Lattice parameters (Å, degrees): 7.0857 7.0857 7.0857 31.60 31.60 31.60
Sites, in units of the cell vectors:
Sb  0.0000  0.0000  0.0000
As  0.2229  0.2229  0.2229
As  0.4935  0.4935  0.4935
P  0.7346  0.7346  0.7346

Summary:
Formation energy without anion corrections: 0.0806 eV per atom
E above lowest polymorph: 0.00 kcal/mol of atoms
Space-group type: R3m, No. 160

=====

Compound: Sb2AsP
Source: Alexandria
Functional: SCAN
Structure: single point on PBEsol structure

Lattice parameters (Å, degrees): 7.0231 7.0231 7.0231 32.88 32.88 32.88
Sites, in units of the cell vectors:
Sb  0.2468  0.2468  0.2468
Sb  0.7532  0.7532  0.7532
As  0.0000  0.0000  0.0000
P  0.5000  0.5000  0.5000

Summary:
Formation energy without anion corrections: 0.1268 eV per atom
E above lowest polymorph: 1.25 kcal/mol of atoms
Space-group type: R-3m, No. 166

=====

Compound: Sb2AsP
Source: Alexandria
Functional: SCAN
Structure: single point on PBEsol structure

Lattice parameters (Å, degrees): 5.9968 5.9968 4.3286 90.31 90.31 38.67
Sites, in units of the cell vectors:
Sb  0.0000  0.0000  0.0000
Sb  0.7389  0.7389  0.5256
As  0.2349  0.2349  0.1049
P  0.5149  0.5149  0.6049

Summary:
Formation energy without anion corrections: 0.1200 eV per atom
E above lowest polymorph: 1.09 kcal/mol of atoms
Space-group type: Cm, No. 8

=====

Compound: Sb2AsP
Source: Alexandria
Functional: SCAN
Structure: single point on PBEsol structure

Lattice parameters (Å, degrees): 4.9058 4.9058 4.9058 60.00 60.00 60.00
Sites, in units of the cell vectors:
Sb  0.2500  0.2500  0.2500
Sb  0.7500  0.7500  0.7500
As  0.0000  0.0000  0.0000
P  0.5000  0.5000  0.5000

Summary:
Formation energy without anion corrections: 0.4927 eV per atom
E above lowest polymorph: 9.69 kcal/mol of atoms
Space-group type: Fm-3m, No. 225

=====

Compound: Sb2AsP
Source: Alexandria
Functional: SCAN
Structure: single point on PBEsol structure

Lattice parameters (Å, degrees): 4.1482 3.9966 5.7690 90.00 93.15 90.00
Sites, in units of the cell vectors:
Sb  0.0000  0.0000  0.0000
Sb  0.4854  0.5000  0.4877
As  0.5510  0.5000  0.9617
P  0.0628  0.0000  0.4563

Summary:
Formation energy without anion corrections: 0.0726 eV per atom
E above lowest polymorph: 0.00 kcal/mol of atoms
Space-group type: Pm, No. 6

=====

So what do the calculations give for magnetic moment? Going down the list: 0.0, 0.0, 0.0, 0.0, 0.0, 0.0 Bohr magnetons per cell.